(1)
VASP calculation (PBE) on an optimized crystal structure of Gd11In6Ge4.

Cell and atoms, written as CIF:
```
data_Gd11In6Ge4
_symmetry_space_group_name_H-M 'I 4/m m m'
_symmetry_Int_Tables_number 139
_symmetry_space_group_name_Hall '-I 4 2'
_cell_length_a 11.6392
_cell_length_b 11.6392
_cell_length_c 16.4105
_cell_angle_alpha 90.00
_cell_angle_beta 90.00
_cell_angle_gamma 90.00
loop_
_atom_site_label
_atom_site_fract_x
_atom_site_fract_y
_atom_site_fract_z
Gd1 0.0000 0.0000 0.1649
Gd2 0.0000 0.2493 0.3137
Gd3 0.0000 0.3457 0.1006
Gd4 0.1684 0.1684 0.5000
In1 0.1286 0.1286 0.0000
In2 0.2064 0.2064 0.1710
Ge1 0.0000 0.0000 0.3810
Ge2 0.0000 0.3465 0.5000
Ge3 0.0000 0.5000 0.2500
```

Summary:
Uncorrected energy = -400.3 eV for the cell shown

---

(2)
VASP calculation (PBE) on an optimized crystal structure of Gd11In2Ge8.

Cell and atoms, written as CIF:
```
data_Gd11In2Ge8
_symmetry_space_group_name_H-M 'I 4/m m m'
_symmetry_Int_Tables_number 139
_symmetry_space_group_name_Hall '-I 4 2'
_cell_length_a 11.2526
_cell_length_b 11.2526
_cell_length_c 16.4586
_cell_angle_alpha 90.00
_cell_angle_beta 90.00
_cell_angle_gamma 90.00
loop_
_atom_site_label
_atom_site_fract_x
_atom_site_fract_y
_atom_site_fract_z
Gd1 0.0000 0.0000 0.1670
Gd2 0.0000 0.2515 0.3088
Gd3 0.0000 0.3367 0.1038
Gd4 0.1696 0.1696 0.5000
In1 0.1300 0.1300 0.0000
Ge1 0.0000 0.0000 0.3821
Ge2 0.0000 0.3535 0.5000
Ge3 0.0000 0.5000 0.2500
Ge4 0.2066 0.2066 0.1761
```

Summary:
Uncorrected energy = -441.9 eV for the cell shown

---

(3)
VASP calculation (PBE) on an optimized crystal structure of GdTm2In3NiGe2.

Cell and atoms, written as CIF:
```
data_GdTm2In3NiGe2
_symmetry_space_group_name_H-M 'A m m 2'
_symmetry_Int_Tables_number 38
_symmetry_space_group_name_Hall 'A 2 -2'
_cell_length_a 4.2139
_cell_length_b 12.6648
_cell_length_c 7.2805
_cell_angle_alpha 90.00
_cell_angle_beta 90.00
_cell_angle_gamma 90.00
loop_
_atom_site_label
_atom_site_fract_x
_atom_site_fract_y
_atom_site_fract_z
Gd1 0.0000 0.0000 0.0000
Tm1 0.0000 0.2012 0.3954
In1 0.5000 0.0000 0.3553
In2 0.5000 0.1199 0.7152
Ni1 0.0000 0.0000 0.5907
Ge1 0.5000 0.1690 0.0970
```

Summary:
Uncorrected energy = -83.8 eV for the cell shown

---

(4)
VASP calculation (PBE) on an optimized crystal structure of Gd5Ge10Ir4.

Cell and atoms, written as CIF:
```
data_Gd5Ge10Ir4
_symmetry_space_group_name_H-M 'P 4/m b m'
_symmetry_Int_Tables_number 127
_symmetry_space_group_name_Hall '-P 4 2ab'
_cell_length_a 13.0799
_cell_length_b 13.0799
_cell_length_c 4.3674
_cell_angle_alpha 90.00
_cell_angle_beta 90.00
_cell_angle_gamma 90.00
loop_
_atom_site_label
_atom_site_fract_x
_atom_site_fract_y
_atom_site_fract_z
Gd1 0.0000 0.0000 0.0000
Gd2 0.1150 0.3850 0.5000
Gd3 0.1745 0.6745 0.5000
Ge1 0.0042 0.8428 0.5000
Ge2 0.0674 0.5674 0.0000
Ge3 0.1629 0.2000 0.0000
Ir1 0.0204 0.7543 0.0000
```

Summary:
Uncorrected energy = -239.6 eV for the cell shown

---

(5)
VASP calculation (PBE) on an optimized crystal structure of Gd4Ge6Ir7.

Cell and atoms, written as CIF:
```
data_Gd4Ge6Ir7
_symmetry_space_group_name_H-M 'I m -3 m'
_symmetry_Int_Tables_number 229
_symmetry_space_group_name_Hall '-I 4 2 3'
_cell_length_a 8.4406
_cell_length_b 8.4406
_cell_length_c 8.4406
_cell_angle_alpha 90.00
_cell_angle_beta 90.00
_cell_angle_gamma 90.00
loop_
_atom_site_label
_atom_site_fract_x
_atom_site_fract_y
_atom_site_fract_z
Gd1 0.2500 0.2500 0.2500
Ge1 0.0000 0.0000 0.3195
Ir1 0.0000 0.0000 0.0000
Ir2 0.0000 0.2500 0.5000
```

Summary:
Uncorrected energy = -245.5 eV for the cell shown

---

(6)
VASP calculation (PBE) on an optimized crystal structure of GdLuGe2Ir.

Cell and atoms, written as CIF:
```
data_GdLuGe2Ir
_symmetry_space_group_name_H-M 'C 1 2/m 1'
_symmetry_Int_Tables_number 12
_symmetry_space_group_name_Hall '-C 2y'
_cell_length_a 10.4265
_cell_length_b 4.3058
_cell_length_c 10.2320
_cell_angle_alpha 90.00
_cell_angle_beta 116.59
_cell_angle_gamma 90.00
loop_
_atom_site_label
_atom_site_fract_x
_atom_site_fract_y
_atom_site_fract_z
Gd1 0.1909 0.0000 0.1182
Lu1 0.0098 0.0000 0.3321
Ge1 0.0198 0.5000 0.8816
Ge2 0.1441 0.5000 0.5524
Ir1 0.2304 0.5000 0.3398
```

Summary:
Excess energy over the best structure of this formula in the dataset = 0 meV/atom